Computed, not measured: Mn3AsOs after structural relaxation at the PBE level of DFT.

Structure (CIF):
```
data_Mn3AsOs
_chemical_formula_sum 'Mn3 As1 Os1'
_cell_length_a 4.672
_cell_length_b 4.672
_cell_length_c 4.672
_cell_angle_alpha 90.00
_cell_angle_beta 90.00
_cell_angle_gamma 90.00
_symmetry_space_group_name_H-M 'P m -3 m'
_symmetry_Int_Tables_number 221
_symmetry_space_group_name_Hall '-P 4 2 3'
loop_
_atom_site_label
_atom_site_fract_x
_atom_site_fract_y
_atom_site_fract_z
Mn1 0.000 0.000 0.500
As1 0.500 0.500 0.500
Os1 0.000 0.000 0.000
```

Summary:
D(E_F)   6.875 states/eV per cell
ΔE to the lowest computed polymorph   0.0 meV per atom
Uncorrected energy   -7.493 eV per atom